Entry from the Alexandria database: a relaxed V2Ni15Pt2 crystal (GGA-PBE).

Mass density ... 9.80 Mg/m³
Symmetry ... No. 166
Total DFT energy (no corrections) ... -6.07 eV per atom
Magnetization ... 3.5 μB/f.u.

Cell: 6.195 6.195 6.195 Å, 82.84 82.84 82.84°
Each line ends with the local moment (μB).
Atoms (fractional coordinates):
V 0.357 0.357 0.357  -1.65
V 0.643 0.643 0.643  -1.65
Ni 0.000 0.000 0.500  0.49
Ni 0.500 0.000 0.000  0.49
Ni 0.000 0.500 0.000  0.49
Ni 0.317 0.683 0.000  0.47
Ni 0.000 0.317 0.683  0.47
Ni 0.683 0.000 0.317  0.47
Ni 0.000 0.683 0.317  0.47
Ni 0.317 0.000 0.683  0.47
Ni 0.683 0.317 0.000  0.47
Ni 0.650 0.650 0.171  0.49
Ni 0.171 0.650 0.650  0.49
Ni 0.650 0.171 0.650  0.49
Ni 0.350 0.350 0.829  0.49
Ni 0.829 0.350 0.350  0.49
Ni 0.350 0.829 0.350  0.49
Pt 0.110 0.110 0.110  0.15
Pt 0.890 0.890 0.890  0.15

***

Entry from the Alexandria database: a relaxed VNi7Pt2 crystal (GGA-PBE).

Mass density ... 11.65 Mg/m³
Symmetry ... No. 12
Total DFT energy (no corrections) ... -6.24 eV per atom
Magnetization ... 1.9 μB/f.u.

Cell: 2.661 6.880 8.438 Å, 57.60 99.06 78.81°
Each line ends with the local moment (μB).
Atoms (fractional coordinates):
V 0.000 0.000 0.000  -0.10
Ni 0.889 0.304 0.083  0.40
Ni 0.111 0.696 0.917  0.40
Ni 0.691 0.907 0.290  0.16
Ni 0.309 0.093 0.710  0.16
Ni 0.787 0.622 0.197  0.17
Ni 0.213 0.378 0.803  0.17
Ni 0.500 0.500 0.500  0.34
Pt 0.583 0.219 0.384  0.15
Pt 0.417 0.781 0.616  0.15

***

Entry from the Alexandria database: a relaxed V3Ni2Pt7 crystal (GGA-PBE).

Mass density ... 15.04 Mg/m³
Symmetry ... No. 65
Total DFT energy (no corrections) ... -6.92 eV per atom
Magnetization ... 0.0 μB/f.u.

Cell: 2.737 4.427 15.064 Å, 98.45 90.00 90.00°
Atoms (fractional coordinates):
V 0.500 0.500 0.000
V 0.500 0.655 0.309
V 0.500 0.345 0.691
Ni 0.000 0.819 0.638
Ni 0.000 0.181 0.362
Pt 0.000 0.427 0.854
Pt 0.000 0.727 0.454
Pt 0.000 0.000 0.000
Pt 0.000 0.573 0.146
Pt 0.500 0.107 0.213
Pt 0.500 0.893 0.787
Pt 0.000 0.273 0.546

***

Entry from the Alexandria database: a relaxed VNi6Pt8 crystal (GGA-PBE).

Mass density ... 14.61 Mg/m³
Symmetry ... No. 147
Total DFT energy (no corrections) ... -6.09 eV per atom
Magnetization ... 1.8 μB/f.u.

Cell: 5.102 7.108 7.108 Å, 120.00 90.00 90.00°
Each line ends with the local moment (μB).
Atoms (fractional coordinates):
V 0.500 0.000 0.000  -0.50
Ni 0.638 0.678 0.026  0.27
Ni 0.638 0.974 0.652  0.27
Ni 0.638 0.348 0.322  0.27
Ni 0.362 0.322 0.974  0.27
Ni 0.362 0.026 0.348  0.27
Ni 0.362 0.652 0.678  0.27
Pt 0.859 0.017 0.324  0.10
Pt 0.859 0.676 0.693  0.10
Pt 0.859 0.307 0.983  0.10
Pt 0.141 0.983 0.676  0.10
Pt 0.141 0.324 0.307  0.10
Pt 0.141 0.693 0.017  0.10
Pt 0.601 0.333 0.667  0.13
Pt 0.399 0.667 0.333  0.13

***

Entry from the Alexandria database: a relaxed VNi4Pt crystal (GGA-PBE).

Mass density ... 11.11 Mg/m³
Symmetry ... No. 216
Total DFT energy (no corrections) ... -6.56 eV per atom
Magnetization ... 0.0 μB/f.u.
Relative energy among the computed polymorphs ... 38 meV/atom

Cell: 4.667 4.667 4.667 Å, 60.00 60.00 60.00°
Atoms (fractional coordinates):
Ni 0.625 0.625 0.124
Ni 0.625 0.124 0.625
Ni 0.625 0.625 0.625
Ni 0.124 0.625 0.625
Pt 0.250 0.250 0.250
V 0.000 0.000 0.000

***

Entry from the Alexandria database: a relaxed VNi3Pt crystal (GGA-PBE).

Mass density ... 10.90 Mg/m³
Symmetry ... No. 198
Total DFT energy (no corrections) ... -6.64 eV per atom
Magnetization ... 0.0 μB/f.u.
Relative energy among the computed polymorphs ... 124 meV/atom

Cell: 6.360 6.360 6.360 Å, 90.00 90.00 90.00°
Atoms (fractional coordinates):
V 0.701 0.701 0.701
V 0.799 0.299 0.201
V 0.299 0.201 0.799
V 0.201 0.799 0.299
Ni 0.126 0.192 0.451
Ni 0.374 0.808 0.951
Ni 0.874 0.692 0.049
Ni 0.451 0.126 0.192
Ni 0.626 0.308 0.549
Ni 0.951 0.374 0.808
Ni 0.049 0.874 0.692
Ni 0.549 0.626 0.308
Ni 0.192 0.451 0.126
Ni 0.692 0.049 0.874
Ni 0.308 0.549 0.626
Ni 0.808 0.951 0.374
Pt 0.054 0.054 0.054
Pt 0.446 0.946 0.554
Pt 0.946 0.554 0.446
Pt 0.554 0.446 0.946

***

Entry from the Alexandria database: a relaxed V2Ni7Pt3 crystal (GGA-PBE).

Mass density ... 11.26 Mg/m³
Symmetry ... No. 10
Total DFT energy (no corrections) ... -6.37 eV per atom
Magnetization ... 0.0 μB/f.u.

Cell: 2.675 4.124 14.733 Å, 90.00 95.18 90.00°
Atoms (fractional coordinates):
V 0.362 0.500 0.723
V 0.638 0.500 0.277
Ni 0.284 0.500 0.568
Ni 0.716 0.500 0.432
Ni 0.416 0.000 0.832
Ni 0.000 0.000 0.000
Ni 0.584 0.000 0.168
Ni 0.073 0.500 0.146
Ni 0.927 0.500 0.854
Pt 0.500 0.500 0.000
Pt 0.828 0.000 0.656
Pt 0.172 0.000 0.344

***

Entry from the Alexandria database: a relaxed VNi2Pt crystal (GGA-PBE).

Mass density ... 11.03 Mg/m³
Symmetry ... No. 122
Total DFT energy (no corrections) ... -6.52 eV per atom
Magnetization ... 0.6 μB/f.u.

Cell: 6.570 6.570 5.292 Å, 51.63 51.63 90.00°
Each line ends with the local moment (μB).
Atoms (fractional coordinates):
Ni 0.600 0.125 0.250  0.04
Ni 0.150 0.625 0.250  0.04
Ni 0.375 0.400 0.750  0.04
Ni 0.875 0.850 0.750  0.04
Pt 0.000 0.000 0.000  0.01
Pt 0.750 0.250 0.500  0.01
V 0.500 0.500 0.000  0.47
V 0.250 0.750 0.500  0.47

***

Entry from the Alexandria database: a relaxed V4Ni5Pt crystal (GGA-PBE).

Mass density ... 8.81 Mg/m³
Symmetry ... No. 59
Total DFT energy (no corrections) ... -7.22 eV per atom
Magnetization ... 0.0 μB/f.u.

Cell: 4.179 8.328 7.503 Å, 90.00 90.00 90.00°
Atoms (fractional coordinates):
V 0.933 0.000 0.699
V 0.242 0.788 0.000
V 0.242 0.212 0.000
V 0.933 0.000 0.301
V 0.067 0.500 0.199
V 0.758 0.712 0.500
V 0.758 0.288 0.500
V 0.067 0.500 0.801
Ni 0.253 0.772 0.667
Ni 0.253 0.228 0.667
Ni 0.504 0.500 0.000
Ni 0.253 0.772 0.333
Ni 0.253 0.228 0.333
Ni 0.747 0.728 0.167
Ni 0.747 0.272 0.167
Ni 0.496 0.000 0.500
Ni 0.747 0.272 0.833
Ni 0.747 0.728 0.833
Pt 0.676 0.000 0.000
Pt 0.324 0.500 0.500

***

Entry from the Alexandria database: a relaxed V2Ni3Pt4 crystal (GGA-PBE).

Mass density ... 14.48 Mg/m³
Symmetry ... No. 12
Total DFT energy (no corrections) ... -7.04 eV per atom
Magnetization ... 0.0 μB/f.u.
Relative energy among the computed polymorphs ... 0 meV/atom

Cell: 3.798 4.630 8.008 Å, 72.34 76.28 65.78°
Atoms (fractional coordinates):
V 0.328 0.112 0.232
V 0.672 0.888 0.768
Ni 0.332 0.786 0.551
Ni 0.000 0.000 0.000
Ni 0.668 0.214 0.449
Pt 0.665 0.559 0.111
Pt 0.010 0.313 0.666
Pt 0.990 0.687 0.334
Pt 0.335 0.441 0.889

***

Entry from the Alexandria database: a relaxed VNiPt3 crystal (GGA-PBE).

Mass density ... 12.42 Mg/m³
Symmetry ... No. 221
Total DFT energy (no corrections) ... -5.69 eV per atom
Magnetization ... 1.7 μB/f.u.
Relative energy among the computed polymorphs ... 1295 meV/atom

Cell: 4.529 4.529 4.529 Å, 90.00 90.00 90.00°
Each line ends with the local moment (μB).
Atoms (fractional coordinates):
Ni 0.000 0.000 0.000  -0.64
Pt 0.000 0.500 0.000  -0.21
Pt 0.000 0.000 0.500  -0.21
Pt 0.500 0.000 0.000  -0.21
V 0.500 0.500 0.500  2.51

***

Entry from the Alexandria database: a relaxed V5NiPt4 crystal (GGA-PBE).

Mass density ... 13.06 Mg/m³
Symmetry ... No. 123
Total DFT energy (no corrections) ... -8.03 eV per atom
Magnetization ... 0.0 μB/f.u.

Cell: 2.689 2.689 19.228 Å, 90.00 90.00 90.00°
Atoms (fractional coordinates):
V 0.500 0.500 0.091
V 0.500 0.500 0.296
V 0.500 0.500 0.500
V 0.500 0.500 0.704
V 0.500 0.500 0.909
Ni 0.000 0.000 0.000
Pt 0.000 0.000 0.194
Pt 0.000 0.000 0.398
Pt 0.000 0.000 0.602
Pt 0.000 0.000 0.806